No. 1
DFT (PBE) results for a relaxed structure of RuPbSe.

As for the energy relative to the elements, uncorrected: -0.0172 eV/atom. The calculation puts the polymorph energy (0 for the lowest one) at 29.4 meV/atom.

Structure (POSCAR):
```
RuPbSe
1.0
3.4760 0.0000 0.0000
0.7619 5.7871 0.0000
0.1406 1.3505 7.0131
Ru Pb Se
2 2 2
direct
0.0000 0.0000 0.0000 Ru
0.4238 0.4692 0.9811 Ru
0.5123 0.8893 0.6993 Pb
0.9718 0.2438 0.3021 Pb
0.5423 0.7647 0.1851 Se
0.9544 0.3743 0.7719 Se
```

=====

No. 2
DFT (PBE) results for a relaxed structure of ErTm2Mg7.

For the energy relative to the elements, the calculation gives 0.239 eV per atom.

Structure (POSCAR):
```
ErTm2Mg7
1.0
3.7627 -10.8835 0.0000
3.7627 10.8835 0.0000
0.0000 0.0000 3.3382
Er Tm Mg
1 2 7
direct
0.0000 0.0000 0.0000 Er
0.2601 0.7399 0.5000 Tm
0.7399 0.2601 0.5000 Tm
0.0665 0.3114 0.5000 Mg
0.3114 0.0665 0.5000 Mg
0.3877 0.6123 0.0000 Mg
0.5000 0.5000 0.5000 Mg
0.6123 0.3877 0.0000 Mg
0.6886 0.9335 0.5000 Mg
0.9335 0.6886 0.5000 Mg
```

=====

No. 3
DFT (PBE) results for a relaxed structure of NaHgS3.

As for the energy relative to the elements, uncorrected: 0.3302 eV/atom. The calculation puts the polymorph energy (0 for the lowest one) at 0.0 meV/atom.

Structure (POSCAR):
```
NaHgS3
1.0
5.0685 0.0000 0.0000
0.0000 5.0685 0.0000
0.0000 0.0000 5.0685
Na Hg S
1 1 3
direct
0.0000 0.0000 0.0000 Na
0.5000 0.5000 0.5000 Hg
0.0000 0.5000 0.5000 S
0.5000 0.0000 0.5000 S
0.5000 0.5000 0.0000 S
```

=====

no.,total moment (μB per atom),Fermi-level density of states (states/eV per atom)
1,0.00,0.6203
2,0.03,0.9464
3,0.00,1.1334